(1)
# Pr2HfPt PBE relaxed
data_Pr2HfPt
_chemical_formula_sum 'Pr2 Hf1 Pt1'
_cell_length_a 3.598
_cell_length_b 3.598
_cell_length_c 10.662
_cell_angle_alpha 80.29
_cell_angle_beta 80.29
_cell_angle_gamma 60.00
_symmetry_space_group_name_H-M 'P 1'
_symmetry_Int_Tables_number 1
loop_
_symmetry_equiv_pos_as_xyz
'x,y,z'
loop_
_atom_site_label
_atom_site_type_symbol
_atom_site_fract_x
_atom_site_fract_y
_atom_site_fract_z
_atom_site_occupancy
Pr1 Pr 0.101 0.101 0.696 1
Pr2 Pr 0.899 0.899 0.304 1
Hf1 Hf 0.000 0.000 0.000 1
Pt1 Pt 0.500 0.500 0.500 1
# Calculated volume: 117.3 Å³/f.u.
# Energy relative to the elements: 0.131 eV per atom

=====

(2)
# Pr2Nd3Si2 PBE relaxed
data_Pr2Nd3Si2
_chemical_formula_sum 'Pr2 Nd3 Si2'
_cell_length_a 4.293
_cell_length_b 6.426
_cell_length_c 8.812
_cell_angle_alpha 103.65
_cell_angle_beta 104.10
_cell_angle_gamma 109.51
_symmetry_space_group_name_H-M 'P 1'
_symmetry_Int_Tables_number 1
loop_
_symmetry_equiv_pos_as_xyz
'x,y,z'
loop_
_atom_site_label
_atom_site_type_symbol
_atom_site_fract_x
_atom_site_fract_y
_atom_site_fract_z
_atom_site_occupancy
Pr1 Pr 0.658 0.505 0.810 1
Pr2 Pr 0.342 0.495 0.190 1
Nd1 Nd 0.500 0.000 0.000 1
Nd2 Nd 0.188 0.819 0.557 1
Nd3 Nd 0.812 0.181 0.443 1
Si1 Si 0.033 0.862 0.205 1
Si2 Si 0.967 0.138 0.795 1
# Calculated volume: 208.4 Å³/f.u.
# Final energy: -5.369 eV/atom

=====

(3)
# Ce3PrRu2 PBE relaxed
data_Ce3PrRu2
_chemical_formula_sum 'Ce6 Pr2 Ru4'
_cell_length_a 4.756
_cell_length_b 8.536
_cell_length_c 8.383
_cell_angle_alpha 116.28
_cell_angle_beta 90.00
_cell_angle_gamma 106.18
_symmetry_space_group_name_H-M 'P 1'
_symmetry_Int_Tables_number 1
loop_
_symmetry_equiv_pos_as_xyz
'x,y,z'
loop_
_atom_site_label
_atom_site_type_symbol
_atom_site_fract_x
_atom_site_fract_y
_atom_site_fract_z
_atom_site_occupancy
Ce1 Ce 0.304 0.608 0.680 1
Ce2 Ce 0.934 0.868 0.564 1
Ce3 Ce 0.623 0.245 0.699 1
Ce4 Ce 0.377 0.755 0.301 1
Ce5 Ce 0.066 0.132 0.436 1
Ce6 Ce 0.696 0.392 0.320 1
Pr1 Pr 0.896 0.792 0.983 1
Pr2 Pr 0.104 0.208 0.017 1
Ru1 Ru 0.471 0.942 0.791 1
Ru2 Ru 0.529 0.058 0.209 1
Ru3 Ru 0.764 0.527 0.124 1
Ru4 Ru 0.236 0.473 0.876 1
# Calculated volume: 145.0 Å³/f.u.
# Energy relative to the elements: -0.208 eV per atom

=====

(4)
# BaNi PBE relaxed
data_BaNi
_chemical_formula_sum 'Ba2 Ni2'
_cell_length_a 8.433
_cell_length_b 8.433
_cell_length_c 8.433
_cell_angle_alpha 150.14
_cell_angle_beta 150.55
_cell_angle_gamma 42.43
_symmetry_space_group_name_H-M 'P 1'
_symmetry_Int_Tables_number 1
loop_
_symmetry_equiv_pos_as_xyz
'x,y,z'
loop_
_atom_site_label
_atom_site_type_symbol
_atom_site_fract_x
_atom_site_fract_y
_atom_site_fract_z
_atom_site_occupancy
Ba1 Ba 0.365 0.615 0.250 1
Ba2 Ba 0.635 0.385 0.750 1
Ni1 Ni 0.774 0.024 0.250 1
Ni2 Ni 0.226 0.976 0.750 1
# Calculated volume: 73.2 Å³/f.u.
# Energy relative to the elements: 0.060 eV per atom

=====

(5)
# FeNiIr PBE relaxed
data_FeNiIr
_chemical_formula_sum 'Fe1 Ni1 Ir1'
_cell_length_a 4.500
_cell_length_b 4.500
_cell_length_c 4.500
_cell_angle_alpha 145.84
_cell_angle_beta 132.65
_cell_angle_gamma 59.68
_symmetry_space_group_name_H-M 'P 1'
_symmetry_Int_Tables_number 1
loop_
_symmetry_equiv_pos_as_xyz
'x,y,z'
loop_
_atom_site_label
_atom_site_type_symbol
_atom_site_fract_x
_atom_site_fract_y
_atom_site_fract_z
_atom_site_occupancy
Ni1 Ni 0.665 0.665 0.000 1
Ir1 Ir 0.334 0.334 0.000 1
Fe1 Fe 0.001 0.001 0.000 1
# Calculated volume: 37.3 Å³/f.u.
# Energy relative to the elements: -0.014 eV per atom
# Relative energy among the computed polymorphs: 0 meV/atom

=====

(6)
# Ac4ZnNiBr2 PBE relaxed
data_Ac4ZnNiBr2
_chemical_formula_sum 'Ac4 Zn1 Ni1 Br2'
_cell_length_a 4.396
_cell_length_b 7.829
_cell_length_c 8.345
_cell_angle_alpha 107.45
_cell_angle_beta 90.00
_cell_angle_gamma 90.00
_symmetry_space_group_name_H-M 'P 1'
_symmetry_Int_Tables_number 1
loop_
_symmetry_equiv_pos_as_xyz
'x,y,z'
loop_
_atom_site_label
_atom_site_type_symbol
_atom_site_fract_x
_atom_site_fract_y
_atom_site_fract_z
_atom_site_occupancy
Ac1 Ac 0.500 0.260 0.214 1
Ac2 Ac 0.500 0.740 0.786 1
Ac3 Ac 0.000 0.276 0.798 1
Ac4 Ac 0.000 0.724 0.202 1
Zn1 Zn 0.000 0.000 0.000 1
Ni1 Ni 0.500 0.500 0.000 1
Br1 Br 0.500 0.000 0.500 1
Br2 Br 0.000 0.500 0.500 1
# Calculated volume: 274.0 Å³/f.u.
# Final energy: -4.098 eV/atom

=====

Repeat the sixth record exactly.
# Ac4ZnNiBr2 PBE relaxed
data_Ac4ZnNiBr2
_chemical_formula_sum 'Ac4 Zn1 Ni1 Br2'
_cell_length_a 4.396
_cell_length_b 7.829
_cell_length_c 8.345
_cell_angle_alpha 107.45
_cell_angle_beta 90.00
_cell_angle_gamma 90.00
_symmetry_space_group_name_H-M 'P 1'
_symmetry_Int_Tables_number 1
loop_
_symmetry_equiv_pos_as_xyz
'x,y,z'
loop_
_atom_site_label
_atom_site_type_symbol
_atom_site_fract_x
_atom_site_fract_y
_atom_site_fract_z
_atom_site_occupancy
Ac1 Ac 0.500 0.260 0.214 1
Ac2 Ac 0.500 0.740 0.786 1
Ac3 Ac 0.000 0.276 0.798 1
Ac4 Ac 0.000 0.724 0.202 1
Zn1 Zn 0.000 0.000 0.000 1
Ni1 Ni 0.500 0.500 0.000 1
Br1 Br 0.500 0.000 0.500 1
Br2 Br 0.000 0.500 0.500 1
# Calculated volume: 274.0 Å³/f.u.
# Final energy: -4.098 eV/atom

=====

What is the calculated volume in the second record?
208.4 Å³/f.u.

=====

The highest calculated volume belongs to which entry?
Ac4ZnNiBr2

=====

Which value of calculated volume does entry 1 give?
117.3 Å³/f.u.